A relaxed K3Nd2FeO6 crystal. Source: Alexandria, functional PBE with a Hubbard U.

Density in Mg/m³: 4.71
Calculated volume in Å³ per atom: 16.4
Final energy in eV per atom: -6.18

Lattice parameters (Å, degrees): 6.028 6.028 6.566 98.72 98.72 120.04
Atoms (fractional coordinates):
K  0.160  0.840  0.500
O  0.062  0.365  0.186
Nd  0.333  0.667  0.000
Fe  0.000  0.000  0.000
O  0.938  0.635  0.814
O  0.242  0.242  0.816
K  0.500  0.500  0.500
K  0.840  0.160  0.500
O  0.635  0.938  0.814
O  0.365  0.062  0.186
O  0.758  0.758  0.184
Nd  0.667  0.333  0.000